# 1
VASP calculation (PBE) on a relaxed As2Ru crystal.

Magnetization ... 0.00 μB per formula unit
Space group ... No. 58

abc: 3.0128 5.4901 6.2435
angles: 90.00 90.00 90.00
Last column: nearest neighbours and their distance in Å.
Fractional coordinates of all 6 atoms:
Ru 0.5000 0.5000 0.5000  6 As 2.47-2.50
Ru 0.0000 0.0000 0.0000  6 As 2.47-2.50
As 0.0000 0.8290 0.6346  3 Ru 2.47-2.50, 1 As 2.52
As 0.5000 0.3290 0.8654  3 Ru 2.47-2.50, 1 As 2.52
As 0.5000 0.6710 0.1346  3 Ru 2.47-2.50, 1 As 2.52
As 0.0000 0.1710 0.3654  3 Ru 2.47-2.50, 1 As 2.52



# 2
VASP calculation (PBE) on a relaxed TiGa2Hg crystal.

Magnetization ... 0.00 μB per formula unit
Space group ... No. 123

abc: 3.9813 4.1881 4.1881
angles: 90.00 90.00 90.00
Last column: nearest neighbours and their distance in Å.
Fractional coordinates of all 4 atoms:
Ga 0.0000 0.0000 0.5000  4 Hg 2.89, 4 Ti 2.89, 4 Ga 2.96
Ga 0.0000 0.5000 0.0000  4 Hg 2.89, 4 Ti 2.89, 4 Ga 2.96
Ti 0.5000 0.0000 0.0000  8 Ga 2.89, 4 Hg 2.96
Hg 0.5000 0.5000 0.5000  8 Ga 2.89, 4 Ti 2.96



# 3
VASP calculation (PBE) on a relaxed Sc2CO crystal.

Energy relative to the lowest polymorph listed for this composition ... 186 meV per atom
Uncorrected formation energy ... -1.720 eV per atom
Magnetization ... 0.00 μB per formula unit
Space group ... No. 160

abc: 3.2085 3.2085 5.8608
angles: 74.11 74.11 60.00
Last column: nearest neighbours and their distance in Å.
Fractional coordinates of all 4 atoms:
C 0.6675 0.6675 0.9974  6 Sc 2.24-2.26
O 0.4953 0.4953 0.5141  6 Sc 2.31-2.45
Sc 0.2583 0.2583 0.2251  3 C 2.24, 3 O 2.45
Sc 0.0789 0.0789 0.7634  3 C 2.26, 3 O 2.31



# 4
VASP calculation (PBE) on a relaxed SmZnAgPd crystal.

Magnetization ... 0.00 μB per formula unit
Space group ... No. 8

abc: 4.5453 4.5337 5.3211
angles: 115.27 90.00 120.08
Last column: nearest neighbours and their distance in Å.
Fractional coordinates of all 4 atoms:
Sm 0.6214 0.2427 0.5065  4 Pd 2.99-3.09, 4 Ag 3.00-3.09, 3 Zn 3.31-3.32
Pd 0.4059 0.8119 0.8597  3 Zn 2.65, 3 Ag 2.95-2.96
Ag 0.8374 0.6749 0.1542  3 Zn 2.79, 3 Pd 2.95-2.96, 4 Sm 3.00-3.09
Zn 0.1016 0.2031 0.9470  3 Pd 2.65, 3 Ag 2.79



# 5
VASP calculation (PBE) on a relaxed HgIrRu crystal.

Energy relative to the lowest polymorph listed for this composition ... 0 meV per atom
Magnetization ... 0.00 μB per formula unit
Space group ... No. 107

abc: 6.4655 6.4655 6.4655
angles: 154.68 154.68 36.11
Last column: nearest neighbours and their distance in Å.
Fractional coordinates of all 3 atoms:
Ir 0.3169 0.3169 0.0000  4 Ru 2.60, 4 Ir 2.83
Hg 0.0014 0.0014 0.0000  4 Hg 2.83, 4 Ru 2.99, 4 Ir 3.03
Ru 0.6817 0.6817 0.0000  4 Ir 2.60, 4 Ru 2.83



# 6
VASP calculation (PBE) on a relaxed Sn2SbAs crystal.

Energy relative to the lowest polymorph listed for this composition ... 146 meV per atom
Uncorrected formation energy ... 0.173 eV per atom
Magnetization ... 0.00 μB per formula unit
Space group ... No. 225

abc: 5.2207 5.2207 5.2207
angles: 60.00 60.00 60.00
Last column: nearest neighbours and their distance in Å.
Fractional coordinates of all 4 atoms:
Sb 0.5000 0.5000 0.5000  8 Sn 3.20
As 0.0000 0.0000 0.0000  8 Sn 3.20
Sn 0.2500 0.2500 0.2500  4 Sb 3.20, 4 As 3.20
Sn 0.7500 0.7500 0.7500  4 Sb 3.20, 4 As 3.20



# 7
VASP calculation (PBE) on a relaxed ScBe2OsC crystal.

Magnetization ... 0.00 μB per formula unit
Space group ... No. 123

abc: 3.8200 4.0599 3.8200
angles: 90.00 90.00 90.00
Last column: nearest neighbours and their distance in Å.
Fractional coordinates of all 5 atoms:
Sc 0.5000 0.5000 0.5000  4 Os 2.70, 8 Be 2.79
Be 0.0000 0.0000 0.5000  2 C 1.91
Be 0.5000 0.0000 0.0000  2 C 1.91
C 0.0000 0.0000 0.0000  4 Be 1.91, 2 Os 2.03
Os 0.0000 0.5000 0.0000  2 C 2.03



# 8
VASP calculation (PBE) on a relaxed CsAlCr2Os crystal.

Magnetization ... 10.85 μB per formula unit
Space group ... No. 123

abc: 4.9781 5.9942 4.9781
angles: 90.00 90.00 90.00
Last column: nearest neighbours and their distance in Å.
Fractional coordinates of all 5 atoms:
Al 0.0000 0.0000 0.0000  4 Cr 2.49
Cr 0.0000 0.0000 0.5000  2 Al 2.49
Cr 0.5000 0.0000 0.0000  2 Al 2.49
Cs 0.0000 0.5000 0.0000  2 Al 3.00
Os 0.5000 0.5000 0.5000  4 Cs 3.52, 8 Cr 3.90



# 9
VASP calculation (PBE) on a relaxed TlHPd2 crystal.

Energy relative to the lowest polymorph listed for this composition ... 0 meV per atom
Magnetization ... 0.00 μB per formula unit
Space group ... No. 122

abc: 5.6528 5.6528 5.6482
angles: 59.97 59.97 90.00
Last column: nearest neighbours and their distance in Å.
Fractional coordinates of all 8 atoms:
Tl 0.0000 0.0000 0.0000  8 Pd 3.00-3.33
Tl 0.7500 0.2500 0.5000  8 Pd 3.00-3.33
Pd 0.8750 0.6910 0.7500  2 H 1.77
Pd 0.3750 0.5590 0.7500  2 H 1.77
Pd 0.4410 0.1250 0.2500  2 H 1.77
Pd 0.3090 0.6250 0.2500  2 H 1.77
H 0.2500 0.7500 0.5000  4 Pd 1.77
H 0.5000 0.5000 0.0000  4 Pd 1.77



# 10
VASP calculation (PBE) on a relaxed Nd7PN5 crystal.

Uncorrected formation energy ... -1.297 eV per atom
Magnetization ... 0.00 μB per formula unit
Space group ... No. 63

abc: 3.7372 6.3833 21.9716
angles: 89.99 90.00 107.00
Last column: nearest neighbours and their distance in Å.
Fractional coordinates of all 26 atoms:
Nd 0.9151 0.8303 0.1023  5 N 2.48-2.65
Nd 0.0855 0.1710 0.8977  5 N 2.48-2.65
Nd 0.8201 0.6406 0.6660  3 N 2.36-2.50
Nd 0.6371 0.2743 0.4675  6 N 2.55-2.66
Nd 0.0853 0.1706 0.6022  5 N 2.48-2.65
Nd 0.1804 0.3603 0.1660  3 N 2.36-2.50
Nd 0.6371 0.2744 0.0325  6 N 2.55-2.66
Nd 0.9151 0.8304 0.3977  5 N 2.48-2.65
Nd 0.5221 0.0446 0.7500  2 N 2.52
Nd 0.8203 0.6410 0.8340  3 N 2.36-2.50
Nd 0.1804 0.3605 0.3340  3 N 2.36-2.50
Nd 0.4786 0.9566 0.2500  2 N 2.52
Nd 0.3634 0.7266 0.5325  6 N 2.55-2.66
Nd 0.3635 0.7268 0.9675  6 N 2.55-2.66
N 0.0003 0.0006 0.0000  6 Nd 2.48-2.61
N 0.4499 0.8998 0.8575  6 Nd 2.50-2.65
N 0.2744 0.5495 0.4276  4 Nd 2.36-2.62
N 0.5509 0.1017 0.3575  6 Nd 2.50-2.65
N 0.2744 0.5495 0.0724  4 Nd 2.36-2.62
N 0.5508 0.1015 0.1425  6 Nd 2.50-2.65
N 0.0002 0.0004 0.5000  6 Nd 2.48-2.61
N 0.7260 0.4514 0.5724  4 Nd 2.36-2.62
N 0.7262 0.4518 0.9276  4 Nd 2.36-2.62
N 0.4497 0.8994 0.6425  6 Nd 2.50-2.65
P 0.8014 0.6029 0.2500  6 Nd 2.85-3.01
P 0.1992 0.3985 0.7501  6 Nd 2.85-3.01



# 11
VASP calculation (PBE) on a relaxed CaSm2Tl3S6 crystal.

Uncorrected formation energy ... -1.328 eV per atom
Magnetization ... 0.00 μB per formula unit
Space group ... No. 12

abc: 7.1716 7.1716 7.6197
angles: 98.99 98.99 120.00
Last column: nearest neighbours and their distance in Å.
Fractional coordinates of all 12 atoms:
Sm 0.3331 0.6669 0.0000  6 S 2.81
Sm 0.6669 0.3331 0.0000  6 S 2.81
S 0.4096 0.0700 0.2103  2 Sm 2.81, 1 Ca 2.87
S 0.0700 0.4096 0.2103  2 Sm 2.81, 1 Ca 2.87
S 0.5904 0.9300 0.7897  2 Sm 2.81, 1 Ca 2.87
S 0.7300 0.7300 0.2080  2 Sm 2.81, 1 Ca 2.86
S 0.9300 0.5904 0.7897  2 Sm 2.81, 1 Ca 2.87
S 0.2700 0.2700 0.7920  2 Sm 2.81, 1 Ca 2.86
Tl 0.8347 0.1653 0.5000  6 S 3.16-3.20
Tl 0.5000 0.5000 0.5000  6 S 3.16-3.20
Tl 0.1653 0.8347 0.5000  6 S 3.16-3.20
Ca 0.0000 0.0000 0.0000  6 S 2.86-2.87



# 12
VASP calculation (PBE) on a relaxed Ac2TlOs crystal.

Magnetization ... 0.00 μB per formula unit
Space group ... No. 166

abc: 3.5766 3.5766 11.5149
angles: 81.07 81.07 60.00
Last column: nearest neighbours and their distance in Å.
Fractional coordinates of all 4 atoms:
Tl 0.5000 0.5000 0.5000  6 Tl 3.58, 6 Ac 3.61
Ac 0.9205 0.9205 0.2384  1 Os 2.70
Ac 0.0795 0.0795 0.7616  1 Os 2.70
Os 0.0000 0.0000 0.0000  2 Ac 2.70



Number 1: raw total energy -6.5917 eV per atom, density 8.07 g cm⁻³. Number 2: raw total energy -3.7307 eV per atom, density 9.22 g cm⁻³. Number 3: raw total energy -8.4312 eV per atom, density 3.95 g cm⁻³. Number 4: raw total energy -3.9846 eV per atom, density 8.65 g cm⁻³. Number 5: raw total energy -5.8518 eV per atom, density 16.61 g cm⁻³. Number 6: raw total energy -4.0216 eV per atom, density 7.16 g cm⁻³. Number 7: raw total energy -6.6341 eV per atom, density 7.43 g cm⁻³. Number 8: raw total energy -4.7046 eV per atom, density 5.08 g cm⁻³. Number 9: raw total energy -4.1628 eV per atom, density 10.89 g cm⁻³. Number 10: raw total energy -7.4825 eV per atom, density 7.36 g cm⁻³. Number 11: raw total energy -4.9362 eV per atom, density 5.90 g cm⁻³. Number 12: raw total energy -4.6335 eV per atom, density 11.23 g cm⁻³.